VTePb2O6 | PBE with a Hubbard U | optimized geometry

Structure (POSCAR):
```
VTePb2O6
1.0
-0.269 -2.284 -5.255
4.793 -3.095 1.100
-4.693 -6.203 2.993
O V Pb Te
12 2 4 2
Direct
0.787 0.801 0.977
0.059 0.482 0.742
0.807 0.767 0.526
0.287 0.699 0.477
0.713 0.301 0.523
0.441 0.982 0.758
0.941 0.518 0.258
0.307 0.733 0.026
0.559 0.018 0.242
0.213 0.199 0.023
0.193 0.233 0.474
0.693 0.267 0.974
0.500 0.000 0.000
0.000 0.500 0.500
0.505 0.471 0.257
0.995 0.971 0.243
0.005 0.029 0.757
0.495 0.529 0.743
0.000 0.500 0.000
0.500 0.000 0.500
```

Summary:
Uncorrected energy   -6.043 eV/atom